No. 1
LiScNiSn, optimized geometry, DFT PBE-GGA; volume = 63.0 Å³/f.u.; final energy = -20.25 eV/cell; energy relative to the lowest polymorph listed for this composition = 0.001 eV/f.u.; magnetic moment = 0.0 μB per cell
1.0
0.000 3.158 3.158
3.158 0.000 3.158
3.158 3.158 0.000
Li Sc Ni Sn
1 1 1 1
Direct
0.000 0.000 0.000 Li
0.750 0.750 0.750 Sc
0.500 0.500 0.500 Ni
0.250 0.250 0.250 Sn

No. 2
KHoPtS3, optimized geometry, DFT PBE-GGA; volume = 146.6 Å³/f.u.; final energy = -62.38 eV/cell; magnetic moment = 0.0 μB per cell
1.0
1.948 -7.485 0.000
1.948 7.485 0.000
0.000 0.000 10.057
K Ho Pt S
2 2 2 6
Direct
0.244 0.756 0.750 K
0.756 0.244 0.250 K
0.000 0.000 0.000 Ho
0.000 0.000 0.500 Ho
0.491 0.509 0.250 Pt
0.509 0.491 0.750 Pt
0.086 0.914 0.250 S
0.382 0.618 0.076 S
0.382 0.618 0.424 S
0.618 0.382 0.576 S
0.618 0.382 0.924 S
0.914 0.086 0.750 S

No. 3
PmErSn, optimized geometry, DFT PBE-GGA; volume = 98.0 Å³/f.u.; final energy = -14.50 eV/cell; magnetic moment = 0.0 μB per cell
1.0
0.000 3.659 3.659
3.659 0.000 3.659
3.659 3.659 0.000
Pm Er Sn
1 1 1
Direct
0.000 0.000 0.000 Pm
0.500 0.500 0.500 Er
0.750 0.750 0.750 Sn

No. 4
Zr2Be15Ni2, optimized geometry, DFT PBE-GGA; volume = 184.0 Å³/f.u.; final energy = -90.03 eV/cell; magnetic moment = 0.0 μB per cell
1.0
3.789 2.188 3.699
-3.789 2.188 3.699
0.000 -4.376 3.699
Zr Be Ni
2 15 2
Direct
0.157 0.157 0.157 Zr
0.843 0.843 0.843 Zr
0.000 0.500 0.500 Be
0.159 0.159 0.657 Be
0.159 0.657 0.159 Be
0.219 0.500 0.781 Be
0.219 0.781 0.500 Be
0.343 0.841 0.841 Be
0.500 0.000 0.500 Be
0.500 0.219 0.781 Be
0.500 0.500 0.000 Be
0.500 0.781 0.219 Be
0.657 0.159 0.159 Be
0.781 0.219 0.500 Be
0.781 0.500 0.219 Be
0.841 0.343 0.841 Be
0.841 0.841 0.343 Be
0.394 0.394 0.394 Ni
0.606 0.606 0.606 Ni

Question: Which value of final energy does entry 1 give?
Answer: -20.25 eV/cell

Question: magnetic moment of number 1 (LiScNiSn)?
Answer: 0.0 μB per cell

Question: Number 3 is which compound?
Answer: PmErSn

Question: Which value of magnetic moment does entry 1 give?
Answer: 0.0 μB per cell